A) DFT (SCAN) results for a crystal of MnSeS2Cl relaxed with PBEsol.

Structure (POSCAR):
```
MnSeS2Cl
1.0
4.526 0.000 0.000
0.000 4.526 0.000
0.000 0.000 4.404
Mn Se S Cl
1 1 2 1
Direct
0.000 0.000 0.000
0.500 0.500 0.500
0.000 0.500 0.000
0.500 0.000 0.000
0.000 0.000 0.500
```

Space-group type = P4/mmm (123)
Total moment = 3.20 μB/f.u.

---

B) DFT (SCAN) results for a crystal of MnSeS2Cl relaxed with PBEsol.

Structure (POSCAR):
```
MnSeS2Cl
1.0
4.581 0.000 0.000
0.000 4.581 0.000
0.000 0.000 4.852
Mn Se S Cl
1 1 2 1
Direct
0.000 0.000 0.000
0.500 0.500 0.000
0.000 0.500 0.500
0.500 0.000 0.500
0.000 0.000 0.500
```

Space-group type = P4/mmm (123)
Total moment = 4.65 μB/f.u.

---

Result of the stability comparison: B) is the least stable of them.

---

A) DFT (SCAN) results for a crystal of MnSbCl2 relaxed with PBEsol.

Structure (POSCAR):
```
MnSbCl2
1.0
1.687 0.974 10.615
-1.687 0.974 10.615
0.000 -1.948 10.615
Mn Sb Cl
1 1 2
Direct
0.000 0.000 0.000
0.500 0.500 0.500
0.286 0.286 0.286
0.714 0.714 0.714
```

Space-group type = R-3m (166)
Total moment = 4.84 μB/f.u.

---

B) DFT (SCAN) results for a crystal of MnSbCl2 relaxed with PBEsol.

Structure (POSCAR):
```
MnSbCl2
1.0
1.753 1.012 8.223
-1.753 1.012 8.223
0.000 -2.024 8.223
Mn Sb Cl
1 1 2
Direct
0.000 0.000 0.000
0.260 0.260 0.260
0.511 0.511 0.511
0.720 0.720 0.720
```

Space-group type = R3m (160)
Total moment = 3.56 μB/f.u.

---

Result of the stability comparison: B) is the least stable of them.

---

A) DFT (SCAN) results for a crystal of MnSiCl2 relaxed with PBEsol.

Structure (POSCAR):
```
MnSiCl2
1.0
0.000 3.239 3.239
3.239 0.000 3.239
3.239 3.239 0.000
Mn Si Cl
1 1 2
Direct
0.000 0.000 0.000
0.750 0.750 0.750
0.250 0.250 0.250
0.500 0.500 0.500
```

Space-group type = F-43m (216)
Total moment = 2.99 μB/f.u.

---

B) DFT (SCAN) results for a crystal of MnSiCl2 relaxed with PBEsol.

Structure (POSCAR):
```
MnSiCl2
1.0
1.576 0.910 8.750
-1.576 0.910 8.750
0.000 -1.820 8.750
Mn Si Cl
1 1 2
Direct
0.000 0.000 0.000
0.500 0.500 0.500
0.084 0.084 0.084
0.916 0.916 0.916
```

Space-group type = R-3m (166)
Total moment = 4.15 μB/f.u.

---

C) DFT (SCAN) results for a crystal of MnSiCl2 relaxed with PBEsol.

Structure (POSCAR):
```
MnSiCl2
1.0
3.068 0.000 0.000
0.000 4.208 0.000
0.000 0.000 5.490
Mn Si Cl
1 1 2
Direct
0.000 0.000 0.000
0.500 0.000 0.500
0.000 0.500 0.500
0.500 0.500 0.000
```

Space-group type = Pmmm (47)
Total moment = 4.50 μB/f.u.

---

Result of the stability comparison: A) is the least stable of them.